PBE+U CoTc2HgO8, relaxed; raw total energy = -6.69 eV per atom; space-group type = C2/m (12)
1.0
5.633 0.003 0.096
2.601 4.997 0.096
0.525 0.319 8.784
Co Tc Hg O
1 2 1 8
direct
0.000 0.000 0.000
0.635 0.635 0.195
0.365 0.365 0.805
0.000 0.000 0.500
0.707 0.214 0.845
0.796 0.796 0.086
0.659 0.659 0.385
0.341 0.341 0.615
0.204 0.204 0.914
0.214 0.707 0.845
0.786 0.293 0.155
0.293 0.786 0.155